1.
VASP calculation (GGA-PBE) on a relaxed structure of Sc2FeCuH.

Lattice parameters (Å, degrees): 4.5047 4.5047 3.3284 90.00 90.00 90.00
With the nearest neighbours (Å) after each atom.
Space group P4/mmm (No. 123)
Inequivalent atoms, fractional coordinates:
Sc 0.0000 0.5000 0.0000 (multiplicity 2)  2 H 2.25
Fe 0.0000 0.0000 0.5000 (multiplicity 1)  2 H 1.66
Cu 0.5000 0.5000 0.5000 (multiplicity 1)  8 Sc 2.80
H 0.0000 0.0000 0.0000 (multiplicity 1)  2 Fe 1.66

Output
Its crystal system is tetragonal. The calculation puts the density at 5.2 g cm⁻³. For the uncorrected energy, the calculation gives -29.89 eV/f.u.

***

2.
VASP calculation (GGA-PBE) on a relaxed structure of Li4Mg5Ga2.

Lattice parameters (Å, degrees): 16.0050 4.6841 5.5634 90.00 90.10 90.00
With the nearest neighbours (Å) after each atom.
Space group C2/m (No. 12)
Inequivalent atoms, fractional coordinates:
Li 0.0480 0.0000 0.1996 (multiplicity 4)  1 Li 2.70, 2 Ga 2.74, 5 Mg 2.95-3.01
Li 0.1772 0.5000 0.3897 (multiplicity 4)  1 Ga 2.74, 7 Mg 2.81-3.07
Mg 0.0000 0.5000 0.5000 (multiplicity 2)  6 Li 2.90-2.98, 2 Ga 2.96
Mg 0.1326 0.0000 0.6824 (multiplicity 4)  2 Ga 2.93, 6 Li 2.94-3.18, 1 Mg 3.09
Mg 0.2321 0.0000 0.1595 (multiplicity 4)  4 Li 2.81-2.95, 1 Ga 2.98, 3 Mg 2.99-3.09
Ga 0.0873 0.5000 0.9694 (multiplicity 4)  3 Li 2.74, 1 Ga 2.82, 4 Mg 2.93-2.98

Output
Its crystal system is monoclinic. The calculation puts the density at 2.3 g cm⁻³. For the uncorrected energy, the calculation gives -23.14 eV/f.u.

***

3.
VASP calculation (GGA-PBE) on a relaxed structure of BeRe2Hg.

Lattice parameters (Å, degrees): 5.1832 8.4407 2.8088 90.00 90.00 90.00
With the nearest neighbours (Å) after each atom.
Space group Cmmm (No. 65)
Inequivalent atoms, fractional coordinates:
Be 0.0000 0.0000 0.0000 (multiplicity 2)  2 Hg 2.59, 2 Be 2.81, 8 Re 2.85
Re 0.2500 0.2500 0.5000 (multiplicity 4)  4 Re 2.59-2.81, 4 Hg 2.85, 4 Be 2.85
Hg 0.0000 0.5000 0.0000 (multiplicity 2)  2 Be 2.59, 2 Hg 2.81, 8 Re 2.85

Output
Its crystal system is orthorhombic. The calculation puts the density at 15.7 g cm⁻³. For the uncorrected energy, the calculation gives -25.31 eV/f.u.

***

4.
VASP calculation (GGA-PBE) on a relaxed structure of BaDyMg2.

Lattice parameters (Å, degrees): 3.6845 3.6845 34.1695 90.00 90.00 120.00
With the nearest neighbours (Å) after each atom.
Space group R-3m (No. 166, hexagonal axes)
Inequivalent atoms, fractional coordinates:
Ba 0.0000 0.0000 0.0000 (multiplicity 3)  6 Ba 3.68, 6 Mg 3.75
Dy 0.0000 0.0000 0.5000 (multiplicity 3)  6 Mg 3.37, 6 Dy 3.68
Mg 0.0000 0.0000 0.2431 (multiplicity 6)  3 Dy 3.37, 6 Mg 3.68, 3 Ba 3.75

Output
Its crystal system is trigonal. The calculation puts the density at 4.3 g cm⁻³. For the uncorrected energy, the calculation gives -9.12 eV/f.u.

***

5.
VASP calculation (GGA-PBE) on a relaxed structure of CuGeF6.

Lattice parameters (Å, degrees): 4.9104 4.9104 9.1311 90.00 90.00 120.00
With the nearest neighbours (Å) after each atom.
Space group P-31c (No. 163)
Inequivalent atoms, fractional coordinates:
Cu 0.3333 0.6667 0.2500 (multiplicity 2)  6 F 2.05
Ge 0.0000 0.0000 0.0000 (multiplicity 2)  6 F 1.84
F 0.0194 0.3149 0.1161 (multiplicity 12)  1 Ge 1.84, 1 Cu 2.05

Output
The value obtained for the formation energy (no corrections) is -2.034 eV per atom. Its crystal system is trigonal. The calculation puts the density at 4.4 g cm⁻³. For the uncorrected energy, the calculation gives -36.22 eV/f.u.

***

6.
VASP calculation (GGA-PBE) on a relaxed structure of Tb2DyZn2In2.

Lattice parameters (Å, degrees): 4.7055 4.7055 27.2823 90.00 90.00 120.00
With the nearest neighbours (Å) after each atom.
Space group R-3m (No. 166, hexagonal axes)
Inequivalent atoms, fractional coordinates:
Tb 0.0000 0.0000 0.1273 (multiplicity 6)  3 In 3.14, 3 Zn 3.24, 3 Tb 3.46, 1 Dy 3.47
Dy 0.0000 0.0000 0.0000 (multiplicity 3)  6 Zn 3.20, 6 In 3.32, 2 Tb 3.47
Zn 0.0000 0.0000 0.3956 (multiplicity 6)  3 In 2.72
In 0.0000 0.0000 0.2637 (multiplicity 6)  3 Zn 2.72

Output
Its crystal system is trigonal. The calculation puts the density at 8.0 g cm⁻³. For the uncorrected energy, the calculation gives -23.84 eV/f.u.